BaZr2Rh | Alexandria via LeMat-Bulk | GGA-PBE | relaxed; E_form = -0.015 eV/atom; excess energy over the best structure of this formula in the dataset = 0.080 eV/atom; spin magnetization = 0.00 μB/f.u.; crystal system = trigonal; space group = R-3m; E = -26.4 eV/f.u.; mass density = 5.87 g/cm³
1.0
7.8709 -0.0036 -0.0022
6.6994 4.1314 -0.0022
6.6994 1.8980 3.6696
Zr Ba Rh
2 1 1
direct
0.0388 0.0388 0.0388
0.4612 0.4612 0.4612
0.2500 0.2500 0.2500
0.7500 0.7500 0.7500